No. 1
This record from Alexandria via LeMat-Bulk describes crystalline Tm2Si2Tc at its relaxed geometry. The functional is PBE.

abc: 10.6827 4.1462 9.9685
angles: 90.00 118.26 90.00
Last column: nearest neighbours and their distance in Å.
Space group C2/m (No. 12)
Asymmetric unit:
1 Tm 0.0054 0.0000 0.1776  6 Si 2.89-3.05, 4 Tc 3.10
2 Tm 0.1869 0.0000 0.6097  6 Si 2.92-3.25, 2 Tc 3.18
3 Si 0.0039 0.5000 0.3786  1 Si 2.46, 1 Tc 2.54
4 Si 0.1396 0.5000 0.0597  3 Tc 2.42-2.48, 1 Si 2.64
5 Tc 0.2275 0.5000 0.8694  4 Si 2.42-2.54

Output
Total magnetization ... 0.00 μB/f.u.
ΔE_f (raw) ... -0.767 eV/atom
Crystal system ... monoclinic
D(E_F) ... 0.448 states/eV per atom
Uncorrected energy ... -135.96 eV/cell
Energy above the most stable polymorph in this dataset ... 0.00 eV/f.u.

=====

No. 2
This record from Alexandria via LeMat-Bulk describes crystalline LaNd4Ho4 at its relaxed geometry. The functional is PBE.

abc: 10.8738 10.8738 5.1034
angles: 90.00 90.00 90.00
Last column: nearest neighbours and their distance in Å.
Space group I4/mmm (No. 139)
Asymmetric unit:
1 La 0.0000 0.0000 0.0000  4 Nd 3.60, 8 Ho 3.63
2 Nd 0.0000 0.3315 0.0000  1 La 3.60, 6 Ho 3.61, 5 Nd 3.64-3.66
3 Ho 0.1676 0.1676 0.5000  4 Ho 3.60-3.65, 6 Nd 3.61, 2 La 3.63

Output
Total magnetization ... 0.00 μB/f.u.
Crystal system ... tetragonal
D(E_F) ... 1.438 states/eV per atom
Uncorrected energy ... -84.24 eV/cell
ΔH_f (0 K) ... 0.0211 eV per atom